No. 1
An optimized crystal structure of Ti2Nb2W. Source: Alexandria, functional PBE.

Cell: 5.4563 7.6627 4.5067 Å, 90.00 90.00 90.00°
Space group Pbam (No. 55)
Inequivalent atoms, fractional coordinates:
Ti (0.2483, 0.0998, 0.0000) [4 per cell]
Nb (0.0690, 0.8364, 0.5000) [4 per cell]
W (0.0000, 0.5000, 0.5000) [2 per cell]

Summary:
- E above lowest polymorph: 332.2 meV per atom
- DFT formation energy: 161 kJ/mol of formula units

---

No. 2
An optimized crystal structure of CaNiSb2. Source: Alexandria, functional PBE.

Cell: 4.1442 6.1645 7.7244 Å, 90.00 90.00 90.00°
Space group Immm (No. 71)
Inequivalent atoms, fractional coordinates:
Ca (0.0000, 0.0000, 0.0000) [2 per cell]
Ni (0.0000, 0.0000, 0.5000) [2 per cell]
Sb (0.0000, 0.5000, 0.1926) [4 per cell]

Summary:
- E_form (uncorrected): -0.32 eV/atom

---

No. 3
An optimized crystal structure of Na2Ti3TlO8. Source: Alexandria, functional PBE.

Cell: 6.1322 6.1322 16.9723 Å, 90.00 90.00 120.00°
Space group R3m (No. 160, hexagonal axes)
Inequivalent atoms, fractional coordinates:
Na (0.0000, 0.0000, 0.0000) [3 per cell]
Na (0.0000, 0.0000, 0.3747) [3 per cell]
Ti (0.1707, 0.3415, 0.8321) [9 per cell]
Tl (0.0000, 0.0000, 0.6252) [3 per cell]
O (0.0000, 0.0000, 0.2316) [3 per cell]
O (0.0000, 0.0000, 0.7716) [3 per cell]
O (0.0370, 0.5185, 0.7743) [9 per cell]
O (0.1870, 0.3740, 0.5616) [9 per cell]

Summary:
- E_form (uncorrected): -2.37 eV/atom

---

No. 4
An optimized crystal structure of Ca2ScCd. Source: Alexandria, functional PBE.

Cell: 12.8554 3.7673 5.6170 Å, 90.00 115.84 90.00°
Space group Cm (No. 8)
Inequivalent atoms, fractional coordinates:
Ca (0.0000, 0.0000, 0.0000) [2 per cell]
Ca (0.2145, 0.0000, 0.7147) [2 per cell]
Sc (0.4312, 0.0000, 0.4312) [2 per cell]
Cd (0.2328, 0.5000, 0.2329) [2 per cell]

Summary:
- DFT formation energy: -14 kJ/mol of formula units

---

No. 5
An optimized crystal structure of BaSr2Zn. Source: Alexandria, functional PBE.

Cell: 5.4663 5.4663 11.6506 Å, 90.00 90.00 90.00°
Space group I-4m2 (No. 119)
Inequivalent atoms, fractional coordinates:
Ba (0.0000, 0.0000, 0.0000) [2 per cell]
Sr (0.0000, 0.0000, 0.5000) [2 per cell]
Sr (0.0000, 0.5000, 0.7500) [2 per cell]
Zn (0.0000, 0.5000, 0.2500) [2 per cell]

Summary:
- DFT formation energy: 48 kJ/mol of formula units

---

No. 6
An optimized crystal structure of K5Rb5Pt. Source: Alexandria, functional PBE.

Cell: 34.5171 6.5403 6.7876 Å, 90.00 90.04 90.00°
Space group C2/m (No. 12)
Inequivalent atoms, fractional coordinates:
K (0.0000, 0.0000, 0.0000) [2 per cell]
K (0.0905, 0.5000, 0.9972) [4 per cell]
K (0.2001, 0.5000, 0.4978) [4 per cell]
Rb (0.0000, 0.5000, 0.5000) [2 per cell]
Rb (0.0985, 0.0000, 0.4962) [4 per cell]
Rb (0.1979, 0.0000, 0.9974) [4 per cell]
Pt (0.0000, 0.5000, 0.0000) [2 per cell]

Summary:
- DFT formation energy: 27 kJ/mol of formula units

---

No. 7
An optimized crystal structure of CaZrTi2Rh. Source: Alexandria, functional PBE.

Cell: 4.6721 4.6721 5.3743 Å, 90.00 90.00 90.00°
Space group P4/mmm (No. 123)
Inequivalent atoms, fractional coordinates:
Ca (0.0000, 0.0000, 0.0000) [1 per cell]
Zr (0.0000, 0.0000, 0.5000) [1 per cell]
Ti (0.0000, 0.5000, 0.5000) [2 per cell]
Rh (0.5000, 0.5000, 0.0000) [1 per cell]

Summary:
- DFT formation energy: 601 kJ/mol of formula units

---

No. 8
An optimized crystal structure of LaBe2Tl. Source: Alexandria, functional PBE.

Cell: 4.2141 4.5865 4.7221 Å, 90.00 90.00 90.00°
Space group Pmmm (No. 47)
Inequivalent atoms, fractional coordinates:
La (0.0000, 0.0000, 0.0000) [1 per cell]
Be (0.5000, 0.5000, 0.2340) [2 per cell]
Tl (0.0000, 0.5000, 0.5000) [1 per cell]

Summary:
- E above lowest polymorph: 211.0 meV per atom
- DFT formation energy: 106 kJ/mol of formula units

---

No. 9
An optimized crystal structure of LiGa6Ag2. Source: Alexandria, functional PBE.

Cell: 6.7112 14.5997 3.3930 Å, 90.00 104.56 90.00°
Space group C2/m (No. 12)
Inequivalent atoms, fractional coordinates:
Li (0.0000, 0.0000, 0.0000) [2 per cell]
Ga (0.1649, 0.3302, 0.8264) [8 per cell]
Ga (0.1645, 0.5000, 0.3313) [4 per cell]
Ag (0.0000, 0.1474, 0.5000) [4 per cell]

Summary:
- DFT formation energy: -33 kJ/mol of formula units

---

No. 10
An optimized crystal structure of Y2Ho3Ge4. Source: Alexandria, functional PBE.

Cell: 7.9416 7.7698 7.5870 Å, 90.00 112.42 90.00°
Space group P2_1/c (No. 14)
Inequivalent atoms, fractional coordinates:
Y (0.1998, 0.1791, 0.0598) [4 per cell]
Ho (0.2376, 0.6625, 0.2274) [4 per cell]
Ho (0.5000, 0.0000, 0.5000) [2 per cell]
Ge (0.0880, 0.5346, 0.8232) [4 per cell]
Ge (0.4908, 0.1329, 0.8686) [4 per cell]

Summary:
- DFT formation energy: -762 kJ/mol of formula units

---

No. 11
An optimized crystal structure of YOsRu2. Source: Alexandria, functional PBE.

Cell: 2.9160 4.6007 10.0464 Å, 90.00 90.00 90.00°
Space group Imm2 (No. 44)
Inequivalent atoms, fractional coordinates:
Y (0.0000, 0.0000, 0.0000) [2 per cell]
Os (0.0000, 0.5000, 0.7794) [2 per cell]
Ru (0.0000, 0.0000, 0.4975) [2 per cell]
Ru (0.0000, 0.5000, 0.2220) [2 per cell]

Summary:
- E above lowest polymorph: 65.3 meV per atom
- DFT formation energy: 87 kJ/mol of formula units

---

No. 12
An optimized crystal structure of K3Ce3InS8. Source: Alexandria, functional PBE.

Cell: 8.2124 8.2124 22.4054 Å, 90.00 90.00 120.00°
Space group R-3m (No. 166, hexagonal axes)
Inequivalent atoms, fractional coordinates:
K (0.0000, 0.5000, 0.0000) [9 per cell]
Ce (0.0000, 0.5000, 0.5000) [9 per cell]
In (0.0000, 0.0000, 0.5000) [3 per cell]
S (0.0000, 0.0000, 0.2348) [6 per cell]
S (0.0100, 0.5050, 0.2321) [18 per cell]

Summary:
- E_form (uncorrected): -1.55 eV/atom